# 1
A plane-wave DFT calculation with PBE was carried out for an optimized crystal structure of UPa3.

a b c (Å): 4.6101 4.6101 9.1558
angles (deg): 90.00 90.00 90.00
Space group I4/mmm (No. 139)
Symmetry-distinct sites (fractional):
U 0.0000 0.0000 0.0000 x2
Pa 0.0000 0.0000 0.5000 x2
Pa 0.0000 0.5000 0.2500 x4

Results
polymorph energy (0 for the lowest one) = 44.8 meV per atom
Fermi-level density of states = 19.20 states/eV/cell

# 2
A plane-wave DFT calculation with PBE was carried out for an optimized crystal structure of U3Pa.

a b c (Å): 6.9668 6.9668 6.9668
angles (deg): 90.00 90.00 90.00
Space group Fm-3m (No. 225)
Symmetry-distinct sites (fractional):
U 0.0000 0.0000 0.0000 x4
U 0.2500 0.2500 0.2500 x8
Pa 0.0000 0.0000 0.5000 x4

Results
polymorph energy (0 for the lowest one) = 224.7 meV per atom
Fermi-level density of states = 54.09 states/eV/cell

# 3
A plane-wave DFT calculation with PBE was carried out for an optimized crystal structure of U6Pa.

a b c (Å): 7.1008 7.1008 7.1008
angles (deg): 90.00 90.00 90.00
Space group Im-3m (No. 229)
Symmetry-distinct sites (fractional):
U 0.0000 0.2500 0.5000 x12
Pa 0.0000 0.0000 0.0000 x2

Results
Fermi-level density of states = 55.39 states/eV/cell
raw total energy = -10.0578 eV/atom